1.
CaTlIn2 | the Alexandria database | GGA-PBE | relaxed; DFT total energy = -2.6608 eV per atom; D(E_F) = 1.3 states/eV/f.u.; energy of formation = -0.20 eV/atom; magnetization = 0.0 μB per cell
1.0
-2.898 1.078 2.417
-2.640 -1.395 -2.549
0.303 -6.669 3.336
Tl Ca In
1 1 2
direct
0.500 0.500 0.250 Tl
0.500 0.500 0.750 Ca
0.000 0.000 0.011 In
0.000 0.000 0.489 In


2.
CaTl12In7 | the Alexandria database | GGA-PBE | relaxed; DFT total energy = -2.4545 eV per atom; D(E_F) = 11.5 states/eV/f.u.; energy of formation = 0.02 eV/atom; magnetization = 0.0 μB per cell
1.0
-3.776 3.009 7.086
-8.003 -0.333 -3.059
-1.890 -7.677 3.317
Ca Tl In
1 12 7
direct
0.000 0.000 0.000 Ca
0.826 0.327 0.787 Tl
0.673 0.213 0.174 Tl
0.609 0.127 0.561 Tl
0.873 0.439 0.391 Tl
0.213 0.174 0.673 Tl
0.439 0.391 0.873 Tl
0.561 0.609 0.127 Tl
0.787 0.826 0.327 Tl
0.127 0.561 0.609 Tl
0.391 0.873 0.439 Tl
0.327 0.787 0.826 Tl
0.174 0.673 0.213 Tl
0.899 0.646 0.946 In
0.354 0.054 0.101 In
0.054 0.101 0.354 In
0.500 0.500 0.500 In
0.946 0.899 0.646 In
0.646 0.946 0.899 In
0.101 0.354 0.054 In